(1)
! CaPd3S4, optimized geometry, DFT PBE; values from VASP
! formation energy without anion corrections	-780	meV per atom
! density of states at the Fermi level	0.22	states/eV per atom
! SG	Pm-3n
&SYSTEM
  ibrav = 0, nat = 16, ntyp = 3
/
ATOMIC_SPECIES
Pd 106.42 Pd.upf
S 32.06 S.upf
Ca 40.08 Ca.upf
CELL_PARAMETERS angstrom
6.7013 0.0000 0.0000
0.0000 6.7013 0.0000
0.0000 0.0000 6.7013
ATOMIC_POSITIONS angstrom
Pd 1.6753 0.0000 3.3507
Pd 0.0000 3.3507 1.6753
Pd 5.0260 0.0000 3.3507
Pd 3.3507 5.0260 0.0000
Pd 3.3507 1.6753 0.0000
Pd 0.0000 3.3507 5.0260
S 5.0260 5.0260 5.0260
S 5.0260 5.0260 1.6753
S 5.0260 1.6753 5.0260
S 1.6753 5.0260 5.0260
S 1.6753 5.0260 1.6753
S 1.6753 1.6753 1.6753
S 1.6753 1.6753 5.0260
S 5.0260 1.6753 1.6753
Ca 3.3507 3.3507 3.3507
Ca 0.0000 0.0000 0.0000

(2)
! La5Hg2Pt, optimized geometry, DFT PBE; values from VASP
! energy of formation	-0.55	eV per atom
! density of states at the Fermi level	1.28	states/eV per atom
! SG	Pbam
&SYSTEM
  ibrav = 0, nat = 16, ntyp = 3
/
ATOMIC_SPECIES
Hg 200.59 Hg.upf
La 138.91 La.upf
Pt 195.08 Pt.upf
CELL_PARAMETERS angstrom
-3.2462 -2.0875 -3.1830
6.1788 -2.3281 -4.7747
0.7760 -10.6745 6.2091
ATOMIC_POSITIONS angstrom
Hg 4.5760 -10.2772 -1.8583
Hg -0.8674 -4.8130 0.1097
Hg 1.6195 -10.9411 1.5924
Hg 2.0891 -4.1491 -3.3409
La 0.7869 -7.9475 0.4782
La -0.4354 -2.2959 -1.9816
La 0.3880 -5.3373 3.1046
La 1.4873 -8.7849 4.2445
La 2.4436 -3.9542 0.1011
La 2.9217 -7.1427 -2.2268
La 3.0894 -1.1641 -2.3873
La 4.1440 -12.7943 0.2331
La 4.5112 -9.0485 1.3333
La 5.4675 -4.2177 -2.8100
Pt 0.0000 0.0000 0.0000
Pt 3.4774 -6.5013 0.7172

(3)
! LaZn2Se, optimized geometry, DFT PBE; values from VASP
! formation energy without anion corrections	-580	meV per atom
! density of states at the Fermi level	0.85	states/eV per atom
! SG	Imm2
&SYSTEM
  ibrav = 0, nat = 4, ntyp = 3
/
ATOMIC_SPECIES
Zn 65.41 Zn.upf
Se 78.96 Se.upf
La 138.91 La.upf
CELL_PARAMETERS angstrom
-4.2640 -2.1536 -2.6668
1.7371 -1.4898 -4.9694
2.0166 -1.1035 4.9647
ATOMIC_POSITIONS angstrom
Zn -0.0144 -0.0208 -0.0435
Zn -1.7510 -2.5330 -0.7466
Se 1.2493 -2.2015 -1.8988
La -1.2578 -1.8135 -3.8009

(4)
! Tl4NiAs, optimized geometry, DFT PBE; values from VASP
! energy of formation	0.72	eV per atom
! density of states at the Fermi level	1.15	states/eV per atom
! SG	F-43m
&SYSTEM
  ibrav = 0, nat = 6, ntyp = 3
/
ATOMIC_SPECIES
Tl 204.38 Tl.upf
As 74.92 As.upf
Ni 58.69 Ni.upf
CELL_PARAMETERS angstrom
0.0000 4.4108 4.4108
4.4108 0.0000 4.4108
4.4108 4.4108 0.0000
ATOMIC_POSITIONS angstrom
Tl 3.3095 3.3095 3.3095
Tl 5.5121 3.3095 5.5121
Tl 3.3095 5.5121 5.5121
Tl 5.5121 5.5121 3.3095
As 6.6162 6.6162 6.6162
Ni 0.0000 0.0000 0.0000

(5)
! Tb2GaB2Rh5, optimized geometry, DFT PBE; values from VASP
! energy of formation	-0.81	eV per atom
! density of states at the Fermi level	0.32	states/eV per atom
! SG	P4/mbm
&SYSTEM
  ibrav = 0, nat = 20, ntyp = 4
/
ATOMIC_SPECIES
Ga 69.72 Ga.upf
Rh 102.91 Rh.upf
Tb 158.93 Tb.upf
B 10.81 B.upf
CELL_PARAMETERS angstrom
-1.1763 2.0723 2.1306
-8.7729 -1.4898 -3.3946
-1.2078 -7.0966 6.2359
ATOMIC_POSITIONS angstrom
Ga -4.9904 -4.2932 1.4206
Ga 0.0000 0.0000 0.0000
Rh -1.1921 -2.5121 4.1832
Rh -4.7025 -1.5958 1.3537
Rh -2.5977 0.2150 0.7545
Rh -7.4199 -3.0898 1.3066
Rh -3.7372 -3.4243 3.6652
Rh -8.5594 -6.7291 4.2173
Rh -9.0152 -1.9074 -0.7243
Rh -4.9746 0.2913 -0.6320
Rh -2.1418 -4.6067 5.6962
Rh -6.4546 -4.9183 3.6181
Tb -8.0480 -6.0230 1.4149
Tb -1.9327 -2.5635 1.4264
Tb -3.8412 -6.3333 4.0395
Tb -6.1396 -2.2531 -1.1982
B -8.1535 -3.9857 -0.6249
B -1.8273 -4.6008 3.4662
B -3.4592 -1.4321 -0.5169
B -6.5215 -7.1543 3.3582

(6)
! ZrV2Cu2, optimized geometry, DFT PBE; values from VASP
! energy of formation	0.23	eV per atom
! density of states at the Fermi level	1.16	states/eV per atom
! excess energy over the best structure of this formula in the dataset	0.058	eV per atom
! SG	P4/mbm
&SYSTEM
  ibrav = 0, nat = 10, ntyp = 3
/
ATOMIC_SPECIES
Cu 63.55 Cu.upf
V 50.94 V.upf
Zr 91.22 Zr.upf
CELL_PARAMETERS angstrom
-4.2840 4.7630 -3.9653
-2.7470 -5.7803 -3.9754
-1.9181 -0.2813 1.7344
ATOMIC_POSITIONS angstrom
Cu -1.5583 -1.6223 -1.9865
Cu -4.0435 -3.2765 -5.0031
Cu -2.9875 2.2591 -2.9375
Cu -5.4727 0.6049 -5.9542
V -6.1144 -1.7125 -5.0890
V -3.5509 -3.2071 -2.4965
V -2.8347 0.4139 -1.1172
V -5.3982 1.9085 -3.7097
Zr -3.5155 -0.5087 -3.9703
Zr 0.0000 0.0000 0.0000